Model 1:
A geometry-optimized Na2Tl3Ga structure. Source: the Alexandria database, functional PBE.

## Properties
Size of the total moment   0.00 μB/cell

abc: 8.020 8.020 6.469
angles: 90.00 90.00 61.35
Fractional coordinates of all 12 atoms:
Na: 0.023 0.247 0.250
Na: 0.247 0.023 0.750
Na: 0.753 0.977 0.250
Na: 0.977 0.753 0.750
Tl: 0.231 0.769 0.250
Tl: 0.330 0.330 0.000
Tl: 0.330 0.330 0.500
Tl: 0.670 0.670 0.000
Tl: 0.670 0.670 0.500
Tl: 0.769 0.231 0.750
Ga: 0.402 0.598 0.750
Ga: 0.598 0.402 0.250

Model 2:
A geometry-optimized Na2Tl3Ga structure. Source: the Alexandria database, functional PBE.

## Properties
Size of the total moment   0.00 μB/cell

abc: 8.474 8.474 7.496
angles: 90.00 90.00 142.80
Fractional coordinates of all 12 atoms:
Na: 0.000 0.000 0.000
Na: 0.000 0.000 0.500
Na: 0.337 0.663 0.000
Na: 0.663 0.337 0.000
Tl: 0.177 0.823 0.275
Tl: 0.177 0.823 0.725
Tl: 0.500 0.500 0.267
Tl: 0.500 0.500 0.733
Tl: 0.823 0.177 0.275
Tl: 0.823 0.177 0.725
Ga: 0.343 0.657 0.500
Ga: 0.657 0.343 0.500

The energy of each structure relative to the most stable one, in meV per atom, is as follows: model 1 45; model 2 0.

Model 1:
A geometry-optimized NaVGa2 structure. Source: the Alexandria database, functional PBE.

## Properties
Size of the total moment   0.00 μB/cell

abc: 2.740 2.740 8.978
angles: 90.00 90.00 90.00
Fractional coordinates of all 4 atoms:
Na: 0.000 0.000 0.000
V: 0.000 0.000 0.500
Ga: 0.500 0.500 0.282
Ga: 0.500 0.500 0.718

Model 2:
A geometry-optimized NaVGa2 structure. Source: the Alexandria database, functional PBE.

## Properties
Size of the total moment   2.53 μB/cell

abc: 4.629 4.629 4.629
angles: 60.00 60.00 60.00
Fractional coordinates of all 4 atoms:
Na: 0.000 0.000 0.000
V: 0.500 0.500 0.500
Ga: 0.250 0.250 0.250
Ga: 0.750 0.750 0.750

Model 3:
A geometry-optimized NaVGa2 structure. Source: the Alexandria database, functional PBE.

## Properties
Size of the total moment   5.83 μB/cell

abc: 9.775 9.775 9.775
angles: 153.44 153.44 37.91
Fractional coordinates of all 8 atoms:
Na: 0.000 0.000 0.000
Na: 0.750 0.250 0.500
V: 0.250 0.750 0.500
V: 0.500 0.500 0.000
Ga: 0.233 0.625 0.108
Ga: 0.375 0.483 0.608
Ga: 0.517 0.125 0.892
Ga: 0.875 0.767 0.392

The energy of each structure relative to the most stable one, in meV per atom, is as follows: model 1 0; model 2 230; model 3 557.

Model 1:
A geometry-optimized NaV3Ga structure. Source: the Alexandria database, functional PBE.

## Properties
Size of the total moment   0.00 μB/cell

abc: 4.412 4.412 4.412
angles: 90.00 90.00 90.00
Fractional coordinates of all 5 atoms:
Na: 0.000 0.000 0.000
V: 0.000 0.000 0.500
V: 0.000 0.500 0.000
V: 0.500 0.000 0.000
Ga: 0.500 0.500 0.500

Model 2:
A geometry-optimized NaV3Ga structure. Source: the Alexandria database, functional PBE.

## Properties
Size of the total moment   8.98 μB/cell

abc: 4.861 4.861 4.861
angles: 90.00 90.00 90.00
Fractional coordinates of all 5 atoms:
Na: 0.000 0.000 0.000
V: 0.000 0.500 0.500
V: 0.500 0.000 0.500
V: 0.500 0.500 0.000
Ga: 0.500 0.500 0.500

The energy of each structure relative to the most stable one, in meV per atom, is as follows: model 1 793; model 2 0.

Model 1:
A geometry-optimized Na2YGa2 structure. Source: the Alexandria database, functional PBE.

## Properties
Size of the total moment   0.00 μB/cell

abc: 7.557 7.557 7.557
angles: 147.81 147.81 46.16
Fractional coordinates of all 5 atoms:
Na: 0.250 0.750 0.500
Na: 0.750 0.250 0.500
Y: 0.000 0.000 0.000
Ga: 0.411 0.411 0.000
Ga: 0.589 0.589 0.000

Model 2:
A geometry-optimized Na2YGa2 structure. Source: the Alexandria database, functional PBE.

## Properties
Size of the total moment   0.00 μB/cell

abc: 7.449 7.449 4.872
angles: 90.00 90.00 90.00
Fractional coordinates of all 10 atoms:
Na: 0.170 0.330 0.000
Na: 0.330 0.830 0.000
Na: 0.670 0.170 0.000
Na: 0.830 0.670 0.000
Y: 0.000 0.000 0.500
Y: 0.500 0.500 0.500
Ga: 0.121 0.621 0.500
Ga: 0.379 0.121 0.500
Ga: 0.621 0.879 0.500
Ga: 0.879 0.379 0.500

Model 3:
A geometry-optimized Na2YGa2 structure. Source: the Alexandria database, functional PBE.

## Properties
Size of the total moment   0.36 μB/cell

abc: 8.466 8.466 3.243
angles: 90.00 90.00 90.00
Fractional coordinates of all 10 atoms:
Na: 0.114 0.386 0.000
Na: 0.386 0.886 0.000
Na: 0.614 0.114 0.000
Na: 0.886 0.614 0.000
Y: 0.000 0.000 0.000
Y: 0.500 0.500 0.000
Ga: 0.189 0.689 0.500
Ga: 0.311 0.189 0.500
Ga: 0.689 0.811 0.500
Ga: 0.811 0.311 0.500

The energy of each structure relative to the most stable one, in meV per atom, is as follows: model 1 0; model 2 146; model 3 140.

Model 1:
A geometry-optimized NaZn2Ga3 structure. Source: the Alexandria database, functional PBE.

## Properties
Size of the total moment   0.00 μB/cell

abc: 8.051 8.051 7.790
angles: 118.91 118.91 31.46
Fractional coordinates of all 12 atoms:
Na: 0.128 0.128 0.127
Na: 0.872 0.872 0.873
Zn: 0.195 0.195 0.695
Zn: 0.500 0.500 0.163
Zn: 0.500 0.500 0.837
Zn: 0.805 0.805 0.305
Ga: 0.000 0.000 0.339
Ga: 0.000 0.000 0.661
Ga: 0.323 0.323 0.524
Ga: 0.324 0.324 0.123
Ga: 0.676 0.676 0.877
Ga: 0.677 0.677 0.476

Model 2:
A geometry-optimized NaZn2Ga3 structure. Source: the Alexandria database, functional PBE.

## Properties
Size of the total moment   0.00 μB/cell

abc: 6.948 6.948 5.079
angles: 90.00 90.00 79.43
Fractional coordinates of all 12 atoms:
Na: 0.183 0.817 0.750
Na: 0.817 0.183 0.250
Zn: 0.253 0.253 0.000
Zn: 0.253 0.253 0.500
Zn: 0.747 0.747 0.000
Zn: 0.747 0.747 0.500
Ga: 0.059 0.576 0.250
Ga: 0.424 0.941 0.250
Ga: 0.442 0.558 0.250
Ga: 0.558 0.442 0.750
Ga: 0.576 0.059 0.750
Ga: 0.941 0.424 0.750

The energy of each structure relative to the most stable one, in meV per atom, is as follows: model 1 12; model 2 0.

Model 1:
A geometry-optimized NaZnGa4 structure. Source: the Alexandria database, functional PBE.

## Properties
Size of the total moment   0.00 μB/cell

abc: 5.524 5.524 5.524
angles: 60.00 60.00 60.00
Fractional coordinates of all 6 atoms:
Na: 0.000 0.000 0.000
Zn: 0.250 0.250 0.250
Ga: 0.126 0.625 0.625
Ga: 0.625 0.126 0.625
Ga: 0.625 0.625 0.126
Ga: 0.625 0.625 0.625

Model 2:
A geometry-optimized NaZnGa4 structure. Source: the Alexandria database, functional PBE.

## Properties
Size of the total moment   0.00 μB/cell

abc: 6.056 6.056 7.778
angles: 107.06 107.06 65.50
Fractional coordinates of all 12 atoms:
Na: 0.193 0.193 0.294
Na: 0.807 0.807 0.706
Zn: 0.419 0.419 0.675
Zn: 0.581 0.581 0.325
Ga: 0.184 0.608 0.065
Ga: 0.200 0.200 0.763
Ga: 0.217 0.783 0.500
Ga: 0.392 0.816 0.935
Ga: 0.608 0.184 0.065
Ga: 0.783 0.217 0.500
Ga: 0.800 0.800 0.237
Ga: 0.816 0.392 0.935

Model 3:
A geometry-optimized NaZnGa4 structure. Source: the Alexandria database, functional PBE.

## Properties
Size of the total moment   0.00 μB/cell

abc: 8.491 8.491 7.043
angles: 90.00 90.00 150.23
Fractional coordinates of all 12 atoms:
Na: 0.117 0.883 0.750
Na: 0.883 0.117 0.250
Zn: 0.346 0.654 0.750
Zn: 0.654 0.346 0.250
Ga: 0.064 0.936 0.250
Ga: 0.271 0.729 0.076
Ga: 0.271 0.729 0.424
Ga: 0.500 0.500 0.000
Ga: 0.500 0.500 0.500
Ga: 0.729 0.271 0.576
Ga: 0.729 0.271 0.924
Ga: 0.936 0.064 0.750

The energy of each structure relative to the most stable one, in meV per atom, is as follows: model 1 66; model 2 0; model 3 91.

Model 1:
A geometry-optimized Na3Zn4Ga2 structure. Source: the Alexandria database, functional PBE.

## Properties
Size of the total moment   0.00 μB/cell

abc: 5.882 5.882 8.661
angles: 104.10 104.10 43.18
Fractional coordinates of all 9 atoms:
Na: 0.000 0.000 0.000
Na: 0.374 0.374 0.625
Na: 0.626 0.626 0.375
Zn: 0.081 0.081 0.633
Zn: 0.257 0.257 0.921
Zn: 0.743 0.743 0.079
Zn: 0.919 0.919 0.367
Ga: 0.317 0.317 0.238
Ga: 0.683 0.683 0.762

Model 2:
A geometry-optimized Na3Zn4Ga2 structure. Source: the Alexandria database, functional PBE.

## Properties
Size of the total moment   0.00 μB/cell

abc: 5.652 5.652 8.643
angles: 114.30 114.30 47.73
Fractional coordinates of all 9 atoms:
Na: 0.000 0.000 0.000
Na: 0.349 0.349 0.321
Na: 0.651 0.651 0.679
Zn: 0.081 0.081 0.412
Zn: 0.276 0.276 0.941
Zn: 0.724 0.724 0.059
Zn: 0.919 0.919 0.588
Ga: 0.362 0.362 0.696
Ga: 0.638 0.638 0.304

The energy of each structure relative to the most stable one, in meV per atom, is as follows: model 1 0; model 2 29.

Model 1:
A geometry-optimized Na2Zn2Ga structure. Source: the Alexandria database, functional PBE.

## Properties
Size of the total moment   0.00 μB/cell

abc: 5.899 5.899 5.899
angles: 135.98 127.58 70.79
Fractional coordinates of all 5 atoms:
Na: 0.197 0.197 0.000
Na: 0.803 0.803 0.000
Zn: 0.243 0.500 0.743
Zn: 0.757 0.500 0.257
Ga: 0.500 0.000 0.500

Model 2:
A geometry-optimized Na2Zn2Ga structure. Source: the Alexandria database, functional PBE.

## Properties
Size of the total moment   0.00 μB/cell

abc: 8.685 8.685 3.004
angles: 90.00 90.00 90.00
Fractional coordinates of all 10 atoms:
Na: 0.135 0.365 0.000
Na: 0.365 0.865 0.000
Na: 0.635 0.135 0.000
Na: 0.865 0.635 0.000
Zn: 0.164 0.664 0.500
Zn: 0.336 0.164 0.500
Zn: 0.664 0.836 0.500
Zn: 0.836 0.336 0.500
Ga: 0.000 0.000 0.000
Ga: 0.500 0.500 0.000

Model 3:
A geometry-optimized Na2Zn2Ga structure. Source: the Alexandria database, functional PBE.

## Properties
Size of the total moment   0.00 μB/cell

abc: 6.647 6.647 5.051
angles: 90.00 90.00 90.00
Fractional coordinates of all 10 atoms:
Na: 0.179 0.321 0.000
Na: 0.321 0.821 0.000
Na: 0.679 0.179 0.000
Na: 0.821 0.679 0.000
Zn: 0.136 0.636 0.500
Zn: 0.364 0.136 0.500
Zn: 0.636 0.864 0.500
Zn: 0.864 0.364 0.500
Ga: 0.000 0.000 0.500
Ga: 0.500 0.500 0.500

The energy of each structure relative to the most stable one, in meV per atom, is as follows: model 1 0; model 2 259; model 3 53.

Model 1:
A geometry-optimized Na2Zn2Ga structure. Source: the Alexandria database, functional PBE.

## Properties
Size of the total moment   0.00 μB/cell

abc: 7.467 7.467 7.467
angles: 147.89 147.89 46.04
Fractional coordinates of all 5 atoms:
Na: 0.250 0.750 0.500
Na: 0.750 0.250 0.500
Zn: 0.089 0.089 0.000
Zn: 0.911 0.911 0.000
Ga: 0.500 0.500 0.000

Model 2:
A geometry-optimized Na2Zn2Ga structure. Source: the Alexandria database, functional PBE.

## Properties
Size of the total moment   0.00 μB/cell

abc: 5.518 5.518 8.346
angles: 98.73 98.73 62.67
Fractional coordinates of all 10 atoms:
Na: 0.033 0.272 0.165
Na: 0.272 0.033 0.665
Na: 0.728 0.967 0.335
Na: 0.967 0.728 0.835
Zn: 0.237 0.506 0.498
Zn: 0.494 0.763 0.002
Zn: 0.506 0.237 0.998
Zn: 0.763 0.494 0.502
Ga: 0.393 0.607 0.250
Ga: 0.607 0.393 0.750

The energy of each structure relative to the most stable one, in meV per atom, is as follows: model 1 278; model 2 0.

Model 1:
A geometry-optimized NaZn2Ga2 structure. Source: the Alexandria database, functional PBE.

## Properties
Size of the total moment   0.00 μB/cell

abc: 8.169 8.169 2.793
angles: 90.00 90.00 90.00
Fractional coordinates of all 10 atoms:
Na: 0.000 0.000 0.000
Na: 0.500 0.500 0.000
Zn: 0.140 0.360 0.000
Zn: 0.360 0.860 0.000
Zn: 0.640 0.140 0.000
Zn: 0.860 0.640 0.000
Ga: 0.155 0.655 0.500
Ga: 0.345 0.155 0.500
Ga: 0.655 0.845 0.500
Ga: 0.845 0.345 0.500

Model 2:
A geometry-optimized NaZn2Ga2 structure. Source: the Alexandria database, functional PBE.

## Properties
Size of the total moment   0.00 μB/cell

abc: 6.417 6.417 6.417
angles: 142.38 142.38 54.26
Fractional coordinates of all 5 atoms:
Na: 0.000 0.000 0.000
Zn: 0.250 0.750 0.500
Zn: 0.750 0.250 0.500
Ga: 0.390 0.390 0.000
Ga: 0.610 0.610 0.000

The energy of each structure relative to the most stable one, in meV per atom, is as follows: model 1 44; model 2 0.